--- w ---
Material: TmZnInSe3
Method: DFT, PBE-GGA
State: relaxed

```
TmZnInSe3
1.0
10.802 0.000 0.000
0.000 4.064 0.000
0.000 0.000 14.596
Tm Zn In Se
4 4 4 12
direct
0.012 0.250 0.246
0.488 0.750 0.746
0.512 0.250 0.254
0.988 0.750 0.754
0.240 0.250 0.713
0.260 0.750 0.213
0.740 0.250 0.787
0.760 0.750 0.287
0.230 0.750 0.501
0.270 0.250 0.001
0.730 0.750 0.999
0.770 0.250 0.499
0.047 0.250 0.623
0.072 0.750 0.119
0.240 0.750 0.818
0.260 0.250 0.318
0.428 0.250 0.619
0.453 0.750 0.123
0.547 0.250 0.877
0.572 0.750 0.381
0.740 0.750 0.682
0.760 0.250 0.182
0.928 0.250 0.881
0.953 0.750 0.377
```

Values from the calculation:
Mass density ... 6.076 g/cm3

--- x ---
Material: TmZnInSe3
Method: DFT, PBE-GGA
State: relaxed

```
TmZnInSe3
1.0
8.221 0.000 0.000
0.000 4.065 0.000
-3.590 0.000 10.011
Tm Zn In Se
2 2 2 6
direct
0.189 0.250 0.141
0.811 0.750 0.859
0.425 0.750 0.390
0.575 0.250 0.610
0.227 0.750 0.715
0.773 0.250 0.285
0.055 0.250 0.862
0.270 0.250 0.435
0.438 0.750 0.163
0.562 0.250 0.837
0.730 0.750 0.565
0.945 0.750 0.138
```

Values from the calculation:
Mass density ... 5.817 g/cm3

--- y ---
Material: TmZnInSe3
Method: DFT, PBE-GGA
State: relaxed

```
TmZnInSe3
1.0
10.084 0.000 0.000
0.000 4.115 0.000
0.000 0.000 15.451
Tm Zn In Se
4 4 4 12
direct
0.170 0.250 0.053
0.330 0.750 0.553
0.670 0.250 0.447
0.830 0.750 0.947
0.178 0.750 0.863
0.322 0.250 0.363
0.678 0.750 0.637
0.822 0.250 0.137
0.009 0.750 0.322
0.491 0.250 0.822
0.509 0.750 0.178
0.991 0.250 0.678
0.020 0.250 0.893
0.172 0.250 0.487
0.209 0.750 0.710
0.291 0.250 0.210
0.328 0.750 0.987
0.480 0.750 0.393
0.520 0.250 0.607
0.672 0.250 0.013
0.709 0.750 0.790
0.791 0.250 0.290
0.828 0.750 0.513
0.980 0.750 0.107
```

Values from the calculation:
Mass density ... 6.072 g/cm3

The energetic minimum among the shown structures is w; the next structure lies 18 meV/atom above.